No. 1
A plane-wave DFT calculation with GGA-PBE was carried out for CsBaGeAu2 after structural relaxation.

Properties
formation energy = -0.30 eV per formula unit
space-group type = P4/mmm (123)
mass density = 7.3 g cm⁻³

Lattice parameters (Å, degrees): 5.2513 6.1094 5.2513 90.00 90.00 90.00
Closest atoms and distances in Å follow each position.
Fractional coordinates of all 5 atoms:
Cs  0.5000  0.5000  0.5000  4 Ba 3.71, 8 Au 4.03
Ge  0.0000  0.0000  0.0000  4 Au 2.63
Au  0.0000  0.0000  0.5000  2 Ge 2.63
Au  0.5000  0.0000  0.0000  2 Ge 2.63
Ba  0.0000  0.5000  0.0000  2 Ge 3.05



No. 2
A plane-wave DFT calculation with GGA-PBE was carried out for Ba2IrW after structural relaxation.

Properties
formation energy = 0.59 eV per formula unit
space-group type = R3m (160)
mass density = 7.2 g cm⁻³

Lattice parameters (Å, degrees): 9.6992 9.6992 9.6992 25.56 25.56 25.56
Closest atoms and distances in Å follow each position.
Fractional coordinates of all 4 atoms:
Ir  0.4635  0.4635  0.4635  3 W 2.49
Ba  0.0358  0.0358  0.0358  3 W 3.45, 3 Ir 3.63
Ba  0.2128  0.2128  0.2128  3 Ir 3.40, 3 W 3.58
W  0.7878  0.7878  0.7878  3 Ir 2.49



No. 3
A plane-wave DFT calculation with GGA-PBE was carried out for Na3Ti3CoS8 after structural relaxation.

Properties
raw formation energy = -1.159 eV per atom
space-group type = R-3m (166)
mass density = 3.1 g cm⁻³

Lattice parameters (Å, degrees): 6.9663 6.9668 7.9022 116.17 90.00 120.00
Closest atoms and distances in Å follow each position.
Fractional coordinates of all 15 atoms:
Na  0.0000  0.0000  0.0000  6 S 2.81-2.85
Na  0.0000  0.5000  0.0000  6 S 2.82-2.85
Na  0.5000  0.5000  0.0000  6 S 2.82-2.85
Ti  0.5000  0.0000  0.5000  6 S 2.45-2.47
Ti  0.5000  0.5000  0.5000  6 S 2.45-2.47
Ti  0.0000  0.5000  0.5000  6 S 2.45-2.47
Co  0.0000  0.0000  0.5000  6 S 2.36
S  0.2631  0.5263  0.2897  3 Ti 2.47
S  0.7369  0.4737  0.7103  3 Ti 2.47
S  0.7733  0.5466  0.3019  1 Co 2.36, 2 Ti 2.45
S  0.2267  0.4534  0.6981  1 Co 2.36, 2 Ti 2.45
S  0.7737  0.0285  0.3018  1 Co 2.36, 2 Ti 2.45
S  0.2263  0.9715  0.6982  1 Co 2.36, 2 Ti 2.45
S  0.2548  0.0285  0.3018  1 Co 2.36, 2 Ti 2.45
S  0.7452  0.9715  0.6982  1 Co 2.36, 2 Ti 2.45



Please write out number 1 again, unchanged.
A plane-wave DFT calculation with GGA-PBE was carried out for CsBaGeAu2 after structural relaxation.

Properties
formation energy = -0.30 eV per formula unit
space-group type = P4/mmm (123)
mass density = 7.3 g cm⁻³

Lattice parameters (Å, degrees): 5.2513 6.1094 5.2513 90.00 90.00 90.00
Closest atoms and distances in Å follow each position.
Fractional coordinates of all 5 atoms:
Cs  0.5000  0.5000  0.5000  4 Ba 3.71, 8 Au 4.03
Ge  0.0000  0.0000  0.0000  4 Au 2.63
Au  0.0000  0.0000  0.5000  2 Ge 2.63
Au  0.5000  0.0000  0.0000  2 Ge 2.63
Ba  0.0000  0.5000  0.0000  2 Ge 3.05